# 1
The following is a PBE-GGA calculation of SbOsRh2 after structural relaxation, from Alexandria.

It has space group I-42d (No. 122), with a = 5.468 Å, b = 5.468 Å, c = 12.423 Å, α = 90.00°, β = 90.00° and γ = 90.00°. The distinct sites, in fractional coordinates, are Sb at (0.000, 0.000, 0.000), Os at (0.000, 0.000, 0.500) and Rh at (0.217, 0.250, 0.625).

The value obtained for the uncorrected formation energy is 0.698 eV/atom. The value obtained for the volume is 23.217 Å³ per atom. As for the crystal system: tetragonal. Its total DFT energy (no corrections) is -6.8162 eV per atom.

# 2
The following is a PBE-GGA calculation of SbOs2Rh after structural relaxation, from Alexandria.

It has space group Pmm2 (No. 25), with a = 2.903 Å, b = 3.854 Å, c = 5.743 Å, α = 90.00°, β = 90.00° and γ = 90.00°. The distinct sites, in fractional coordinates, are Sb at (0.000, 0.000, 0.000), Os at (0.000, 0.000, 0.490), Os at (0.500, 0.500, 0.301) and Rh at (0.500, 0.500, 0.769).

The value obtained for the uncorrected formation energy is 0.317 eV/atom. The value obtained for the volume is 16.064 Å³ per atom. As for the crystal system: orthorhombic. Its total DFT energy (no corrections) is -8.1659 eV per atom.

# 3
The following is a PBE-GGA calculation of Sb2OsRh after structural relaxation, from Alexandria.

It has space group Pmm2 (No. 25), with a = 3.350 Å, b = 4.013 Å, c = 5.499 Å, α = 90.00°, β = 90.00° and γ = 90.00°. The distinct sites, in fractional coordinates, are Sb at (0.000, 0.000, 0.000), Sb at (0.500, 0.500, 0.368), Os at (0.000, 0.000, 0.512) and Rh at (0.500, 0.500, 0.863).

The value obtained for the uncorrected formation energy is 0.109 eV/atom. The calculation puts the energy above the most stable polymorph in this dataset at 0 meV/atom. The value obtained for the volume is 18.479 Å³ per atom. As for the crystal system: orthorhombic. Its total DFT energy (no corrections) is -6.5979 eV per atom.

# 4
The following is a PBE-GGA calculation of SbOsRh2 after structural relaxation, from Alexandria.

It has space group P4mm (No. 99), with a = 2.973 Å, b = 2.973 Å, c = 7.262 Å, α = 90.00°, β = 90.00° and γ = 90.00°. The distinct sites, in fractional coordinates, are Sb at (0.000, 0.000, 0.000), Os at (0.500, 0.500, 0.727), Rh at (0.000, 0.000, 0.506) and Rh at (0.500, 0.500, 0.243).

The value obtained for the uncorrected formation energy is 0.305 eV/atom. The value obtained for the volume is 16.051 Å³ per atom. As for the crystal system: tetragonal. Its total DFT energy (no corrections) is -7.2090 eV per atom.

# 5
The following is a PBE-GGA calculation of SbOs2Rh after structural relaxation, from Alexandria.

It has space group I-42d (No. 122), with a = 5.802 Å, b = 5.802 Å, c = 11.225 Å, α = 90.00°, β = 90.00° and γ = 90.00°. The distinct sites, in fractional coordinates, are Sb at (0.000, 0.000, 0.000), Os at (0.219, 0.250, 0.625) and Rh at (0.000, 0.000, 0.500).

The value obtained for the uncorrected formation energy is 1.209 eV/atom. The value obtained for the volume is 23.619 Å³ per atom. As for the crystal system: tetragonal. Its total DFT energy (no corrections) is -7.2745 eV per atom.

# 6
The following is a PBE-GGA calculation of SbOs2Rh after structural relaxation, from Alexandria.

It has space group R-3m (No. 166, hexagonal axes), with a = 2.9503 Å, b = 2.9503 Å, c = 25.5689 Å, α = 90.00°, β = 90.00° and γ = 120.00°. The distinct sites, in fractional coordinates, are Sb at (0.0000, 0.0000, 0.0000), Os at (0.0000, 0.0000, 0.2498) and Rh at (0.0000, 0.0000, 0.5000).

The value obtained for the uncorrected formation energy is 0.641 eV/atom. The value obtained for the volume is 16.062 Å³ per atom. As for the crystal system: trigonal. Its total DFT energy (no corrections) is -7.8420 eV per atom.

# 7
The following is a PBE-GGA calculation of SbOsRh2 after structural relaxation, from Alexandria.

It has space group Imm2 (No. 44), with a = 3.017 Å, b = 4.556 Å, c = 9.305 Å, α = 90.00°, β = 90.00° and γ = 90.00°. The distinct sites, in fractional coordinates, are Sb at (0.000, 0.000, 0.000), Os at (0.000, 0.500, 0.730), Rh at (0.000, 0.000, 0.494) and Rh at (0.000, 0.500, 0.274).

The value obtained for the uncorrected formation energy is 0.249 eV/atom. The value obtained for the volume is 15.988 Å³ per atom. As for the crystal system: orthorhombic. Its total DFT energy (no corrections) is -7.2651 eV per atom.

# 8
The following is a PBE-GGA calculation of SbOsRh2 after structural relaxation, from Alexandria.

It has space group Pmm2 (No. 25), with a = 2.870 Å, b = 4.481 Å, c = 4.902 Å, α = 90.00°, β = 90.00° and γ = 90.00°. The distinct sites, in fractional coordinates, are Sb at (0.000, 0.000, 0.000), Os at (0.000, 0.500, 0.649), Rh at (0.500, 0.000, 0.509) and Rh at (0.500, 0.500, 0.178).

The value obtained for the uncorrected formation energy is 0.143 eV/atom. The value obtained for the volume is 15.761 Å³ per atom. As for the crystal system: orthorhombic. Its total DFT energy (no corrections) is -7.3703 eV per atom.

# 9
The following is a PBE-GGA calculation of SbOs3Rh after structural relaxation, from Alexandria.

It has space group Pm-3m (No. 221), with a = 4.702 Å, b = 4.702 Å, c = 4.702 Å, α = 90.00°, β = 90.00° and γ = 90.00°. The distinct sites, in fractional coordinates, are Sb at (0.000, 0.000, 0.000), Os at (0.000, 0.500, 0.500) and Rh at (0.500, 0.500, 0.500).

The value obtained for the uncorrected formation energy is 2.216 eV/atom. The calculation puts the energy above the most stable polymorph in this dataset at 0 meV/atom. The value obtained for the volume is 20.793 Å³ per atom. As for the crystal system: cubic. Its total DFT energy (no corrections) is -6.8165 eV per atom.

# 10
The following is a PBE-GGA calculation of SbOsRh2 after structural relaxation, from Alexandria.

It has space group Pmmm (No. 47), with a = 2.899 Å, b = 3.892 Å, c = 5.639 Å, α = 90.00°, β = 90.00° and γ = 90.00°. The distinct sites, in fractional coordinates, are Sb at (0.000, 0.000, 0.000), Os at (0.000, 0.000, 0.500) and Rh at (0.500, 0.500, 0.268).

The value obtained for the uncorrected formation energy is 0.153 eV/atom. The value obtained for the volume is 15.907 Å³ per atom. As for the crystal system: orthorhombic. Its total DFT energy (no corrections) is -7.3610 eV per atom.

# 11
The following is a PBE-GGA calculation of SbOsRh2 after structural relaxation, from Alexandria.

It has space group C2/m (No. 12), with a = 8.997 Å, b = 3.007 Å, c = 4.766 Å, α = 90.00°, β = 100.89° and γ = 90.00°. The distinct sites, in fractional coordinates, are Sb at (0.000, 0.000, 0.000), Os at (0.000, 0.500, 0.500) and Rh at (0.248, 0.000, 0.734).

The value obtained for the uncorrected formation energy is 0.156 eV/atom. The value obtained for the volume is 15.829 Å³ per atom. As for the crystal system: monoclinic. Its total DFT energy (no corrections) is -7.3576 eV per atom.

# 12
The following is a PBE-GGA calculation of SbOs2Rh after structural relaxation, from Alexandria.

It has space group P4/mmm (No. 123), with a = 4.527 Å, b = 4.527 Å, c = 3.084 Å, α = 90.00°, β = 90.00° and γ = 90.00°. The distinct sites, in fractional coordinates, are Sb at (0.000, 0.000, 0.000), Os at (0.000, 0.500, 0.500) and Rh at (0.500, 0.500, 0.000).

The value obtained for the uncorrected formation energy is 0.539 eV/atom. The value obtained for the volume is 15.803 Å³ per atom. As for the crystal system: tetragonal. Its total DFT energy (no corrections) is -7.9443 eV per atom.

- Which value of total DFT energy (no corrections) does entry 6 give?
  -7.8420 eV per atom

- Which value of total DFT energy (no corrections) does entry 6 give?
  -7.8420 eV per atom